(1)
Entry from Alexandria: a geometry-optimized Eu2Lu structure (PBE).

extended XYZ file:
```
6
Lattice="3.694 0.000 0.000 0.000 3.694 0.000 0.000 0.000 16.125" Properties=species:S:1:pos:R:3 pbc="T T T"
Eu 0.000 0.000 2.580
Eu 0.000 0.000 13.545
Eu 1.847 1.847 5.483
Eu 1.847 1.847 10.642
Lu 0.000 0.000 8.062
Lu 1.847 1.847 0.000
```

Computed properties:
* ρ: 7.2 g/cm3
* energy above the most stable polymorph in this dataset: 0 meV per atom
* total magnetic moment: 5.129 μB per atom
* E_form: 0.1033 eV per atom

***

(2)
Entry from Alexandria: a geometry-optimized Ce2OsF structure (PBE).

extended XYZ file:
```
12
Lattice="3.969 0.000 0.000 -1.984 3.437 0.000 0.000 0.000 22.652" Properties=species:S:1:pos:R:3 pbc="T T T"
Ce 0.000 0.000 0.000
Ce 0.000 0.000 4.419
Ce 0.000 2.291 15.101
Ce 0.000 2.291 19.520
Ce 1.984 1.146 7.550
Ce 1.984 1.146 11.970
Os 0.000 0.000 13.398
Os 0.000 2.291 5.848
Os 1.984 1.146 20.949
F 0.000 0.000 8.717
F 0.000 2.291 1.166
F 1.984 1.146 16.267
```

Computed properties:
* ρ: 7.9 g/cm3
* energy above the most stable polymorph in this dataset: 11 meV per atom
* total magnetic moment: 0.301 μB per atom
* formation energy (no corrections): -1173 meV/atom

***

(3)
Entry from Alexandria: a geometry-optimized Ta2CoTe structure (PBE).

extended XYZ file:
```
8
Lattice="3.906 0.000 0.000 0.000 3.906 0.000 0.000 0.000 8.791" Properties=species:S:1:pos:R:3 pbc="T T T"
Ta 0.000 1.953 2.198
Ta 0.000 1.953 6.593
Ta 1.953 0.000 2.198
Ta 1.953 0.000 6.593
Co 0.000 0.000 0.000
Co 1.953 1.953 4.395
Te 0.000 0.000 4.395
Te 1.953 1.953 0.000
```

Computed properties:
* ρ: 13.6 g/cm3
* total magnetic moment: 0.000 μB per atom
* formation energy (no corrections): 179 meV/atom

***

(4)
Entry from Alexandria: a geometry-optimized Pr2Ag structure (PBE).

extended XYZ file:
```
6
Lattice="3.761 0.000 0.000 0.000 3.761 0.000 0.000 0.000 12.827" Properties=species:S:1:pos:R:3 pbc="T T T"
Pr 0.000 0.000 0.000
Pr 0.000 0.000 3.819
Pr 0.000 0.000 9.008
Pr 1.881 1.881 6.413
Ag 1.881 1.881 1.927
Ag 1.881 1.881 10.899
```

Computed properties:
* ρ: 7.1 g/cm3
* total magnetic moment: 0.043 μB per atom
* E_form: -0.1512 eV per atom

***

(5)
Entry from Alexandria: a geometry-optimized In2Hg13 structure (PBE).

extended XYZ file:
```
15
Lattice="4.302 2.484 6.632 -4.302 2.484 6.632 0.000 -4.967 6.632" Properties=species:S:1:pos:R:3 pbc="T T T"
In 0.000 0.000 3.058
In 0.000 0.000 16.837
Hg 0.000 0.000 0.000
Hg 0.000 -1.903 5.519
Hg -1.648 0.951 5.519
Hg 0.000 -1.872 8.651
Hg -1.621 0.936 8.651
Hg -1.621 -0.936 11.245
Hg -1.648 -0.951 14.376
Hg 1.648 0.951 5.519
Hg 1.621 0.936 8.651
Hg 1.621 -0.936 11.245
Hg 0.000 1.872 11.245
Hg 1.648 -0.951 14.376
Hg 0.000 1.903 14.376
```

Computed properties:
* ρ: 11.1 g/cm3
* energy above the most stable polymorph in this dataset: 0 meV per atom
* total magnetic moment: 0.000 μB per atom
* E_form: 0.0305 eV per atom

***

(6)
Entry from Alexandria: a geometry-optimized BaAs2Xe5F22 structure (PBE).

extended XYZ file:
```
30
Lattice="0.000 7.079 7.120 5.931 0.000 7.120 5.931 7.079 0.000" Properties=species:S:1:pos:R:3 pbc="T T T"
Ba 0.000 0.000 0.000
As 2.966 3.540 0.000
As 2.966 3.540 7.120
Xe 2.966 0.000 3.560
Xe 5.931 3.540 3.560
Xe 0.000 3.540 3.560
Xe 2.966 7.079 3.560
Xe 5.931 7.079 7.120
F 7.487 2.440 7.120
F 8.118 4.516 5.866
F 5.931 5.361 2.555
F 9.601 7.079 5.512
F 8.118 4.516 8.375
F 5.931 8.798 2.555
F 4.375 2.440 7.120
F 9.601 7.079 8.729
F 5.931 7.079 5.045
F 8.118 9.643 5.866
F 3.745 4.516 5.866
F 8.118 9.643 8.375
F 3.745 4.516 8.375
F 5.931 7.079 9.196
F 2.261 7.079 5.512
F 7.487 11.719 7.120
F 5.931 5.361 11.686
F 3.745 9.643 5.866
F 2.261 7.079 8.729
F 5.931 8.798 11.686
F 3.745 9.643 8.375
F 4.375 11.719 7.120
```

Computed properties:
* ρ: 3.8 g/cm3
* total magnetic moment: 0.000 μB per atom
* formation energy (no corrections): -1522 meV/atom

***

(7)
Entry from Alexandria: a geometry-optimized Rb2PrTlCl6 structure (PBE).

extended XYZ file:
```
20
Lattice="7.829 0.000 0.000 0.000 8.291 0.000 -7.613 0.000 11.224" Properties=species:S:1:pos:R:3 pbc="T T T"
Rb -0.153 0.585 2.759
Rb -3.959 3.560 8.371
Rb 4.175 4.731 2.853
Rb 0.369 7.706 8.465
Pr 3.915 0.000 0.000
Pr 0.108 4.146 5.612
Tl -3.807 0.000 5.612
Tl 0.000 4.146 0.000
Cl -5.943 1.502 10.602
Cl -2.137 2.643 4.990
Cl -5.065 5.998 10.434
Cl -1.258 6.438 4.822
Cl -2.792 0.422 8.636
Cl 1.014 3.724 3.024
Cl -0.798 4.567 8.200
Cl 3.009 7.869 2.588
Cl 1.474 1.853 6.402
Cl 5.281 2.293 0.790
Cl 2.353 5.648 6.234
Cl 6.159 6.789 0.622
```

Computed properties:
* ρ: 3.3 g/cm3
* total magnetic moment: 0.000 μB per atom
* formation energy (no corrections): -1934 meV/atom

***

(8)
Entry from Alexandria: a geometry-optimized YFeSi2Os structure (PBE).

extended XYZ file:
```
5
Lattice="4.563 0.000 0.000 0.000 4.563 0.000 0.000 0.000 5.498" Properties=species:S:1:pos:R:3 pbc="T T T"
Y 0.000 0.000 0.000
Fe 2.282 2.282 0.000
Si 0.000 2.282 2.749
Si 2.282 0.000 2.749
Os 0.000 0.000 2.749
```

Computed properties:
* ρ: 5.7 g/cm3
* energy above the most stable polymorph in this dataset: 1179 meV per atom
* total magnetic moment: 0.561 μB per atom
* formation energy (no corrections): 488 meV/atom

***

Question: What is the ρ in the eighth record?
Answer: 5.7 g/cm3

***

Question: Which of these has the lowest ρ?
Answer: Rb2PrTlCl6